First-principles (PBE) data for crystalline TlSiSb2I at its relaxed geometry, as listed in the Alexandria database.

a b c (Å): 5.2961 5.2961 5.9659
angles (deg): 90.00 90.00 90.00
Last column: nearest neighbours and their distance in Å.
Atoms (fractional coordinates):
Tl 0.0000 0.0000 0.0000  4 I 3.74, 8 Sb 3.99
Si 0.5000 0.5000 0.5000  4 Sb 2.65
Sb 0.0000 0.5000 0.5000  2 Si 2.65
Sb 0.5000 0.0000 0.5000  2 Si 2.65
I 0.5000 0.5000 0.0000  2 Si 2.98

Values from the calculation:
- Magnetization: 0.00 μB per formula unit
- Energy relative to the elements, uncorrected: 35 kJ per mole of atoms
- Excess energy over the best structure of this formula in the dataset: 0.0 kJ per mole of atoms
- Calculated volume: 167.3 Å³ per cell
- Space group: P4/mmm
- DOS(E_F): 0.876 states/eV/atom

=====

First-principles (PBE) data for crystalline AuBrF6 at its relaxed geometry, as listed in the Alexandria database.

a b c (Å): 5.5702 5.7816 9.0561
angles (deg): 90.00 100.79 90.00
Last column: nearest neighbours and their distance in Å.
Atoms (fractional coordinates):
Au 0.2392 0.0000 0.4068  4 F 1.94-2.02
Au 0.7608 0.5000 0.5932  4 F 1.94-2.02
Br 0.0421 0.0109 0.8247  2 F 1.79-1.80
Br 0.9579 0.5109 0.1753  2 F 1.79-1.80
F 0.1716 0.2006 0.2212  1 Au 2.02, 1 Br 2.15
F 0.2137 0.2710 0.8776  1 Br 1.80
F 0.2226 0.2644 0.5364  1 Au 1.94
F 0.2606 0.7286 0.2699  1 Au 2.02, 1 Br 2.15
F 0.2922 0.8342 0.9141  1 Br 1.79
F 0.3106 0.8003 0.5816  1 Au 1.94
F 0.6894 0.3003 0.4184  1 Au 1.94
F 0.7078 0.3342 0.0859  1 Br 1.79
F 0.7394 0.2286 0.7301  1 Au 2.02, 1 Br 2.15
F 0.7774 0.7644 0.4636  1 Au 1.94
F 0.7863 0.7710 0.1224  1 Br 1.80
F 0.8284 0.7006 0.7788  1 Au 2.02, 1 Br 2.15

Values from the calculation:
- Magnetization: 0.00 μB per formula unit
- Energy relative to the elements, uncorrected: -93 kJ per mole of atoms
- Calculated volume: 286.5 Å³ per cell
- Space group: P2_1
- DOS(E_F): 0.000 states/eV/atom

=====

First-principles (PBE) data for crystalline Ba2TlPbSe4 at its relaxed geometry, as listed in the Alexandria database.

a b c (Å): 7.8154 4.6010 7.9705
angles (deg): 90.00 110.01 90.00
Last column: nearest neighbours and their distance in Å.
Atoms (fractional coordinates):
Ba 0.0000 0.0000 0.0000  6 Se 3.27-3.28
Ba 0.0000 0.5000 0.5000  6 Se 3.29-3.30
Tl 0.5000 0.0000 0.5000  6 Se 3.17-3.20
Pb 0.5000 0.5000 0.0000  6 Se 3.16-3.17
Se 0.2624 0.0000 0.7566  2 Pb 3.17, 1 Tl 3.20, 3 Ba 3.27-3.29
Se 0.2642 0.5000 0.2531  1 Pb 3.16, 2 Tl 3.17, 3 Ba 3.28-3.30
Se 0.7358 0.5000 0.7469  1 Pb 3.16, 2 Tl 3.17, 3 Ba 3.28-3.30
Se 0.7376 0.0000 0.2434  2 Pb 3.17, 1 Tl 3.20, 3 Ba 3.27-3.29

Values from the calculation:
- Magnetization: 0.00 μB per formula unit
- Energy relative to the elements, uncorrected: -112 kJ per mole of atoms
- Calculated volume: 269.3 Å³ per cell
- Space group: P2/m
- DOS(E_F): 0.685 states/eV/atom

=====

First-principles (PBE) data for crystalline Tm2PuMn4 at its relaxed geometry, as listed in the Alexandria database.

a b c (Å): 8.6171 5.4649 6.5303
angles (deg): 90.00 121.85 90.00
Last column: nearest neighbours and their distance in Å.
Atoms (fractional coordinates):
Tm 0.1216 0.0000 0.3575  8 Mn 3.02-3.36, 2 Pu 3.38
Tm 0.3784 0.5000 0.6425  8 Mn 3.02-3.36, 2 Pu 3.38
Tm 0.6216 0.5000 0.3575  8 Mn 3.02-3.36, 2 Pu 3.38
Tm 0.8784 0.0000 0.6425  8 Mn 3.02-3.36, 2 Pu 3.38
Pu 0.0000 0.5000 0.0000  6 Mn 2.29-2.55
Pu 0.5000 0.0000 0.0000  6 Mn 2.29-2.55
Mn 0.0424 0.5000 0.6818  1 Mn 2.08, 1 Pu 2.29
Mn 0.2500 0.2500 0.0000  2 Mn 2.34, 2 Pu 2.55
Mn 0.2500 0.7500 0.0000  2 Mn 2.34, 2 Pu 2.55
Mn 0.4576 0.0000 0.3182  1 Mn 2.08, 1 Pu 2.29
Mn 0.5424 0.0000 0.6818  1 Mn 2.08, 1 Pu 2.29
Mn 0.7500 0.2500 0.0000  2 Mn 2.34, 2 Pu 2.55
Mn 0.7500 0.7500 0.0000  2 Mn 2.34, 2 Pu 2.55
Mn 0.9576 0.5000 0.3182  1 Mn 2.08, 1 Pu 2.29

Values from the calculation:
- Magnetization: 0.30 μB per formula unit
- Formation energy: 180.5 meV/atom
- Calculated volume: 261.2 Å³ per cell
- Space group: C2/m
- DOS(E_F): 1.205 states/eV/atom

=====

First-principles (PBE) data for crystalline InWCl4 at its relaxed geometry, as listed in the Alexandria database.

a b c (Å): 5.9046 5.9046 5.9046
angles (deg): 60.00 60.00 60.00
Last column: nearest neighbours and their distance in Å.
Atoms (fractional coordinates):
In 0.0000 0.0000 0.0000  12 Cl 3.46, 4 W 3.62
W 0.7500 0.7500 0.7500  12 Cl 3.46, 4 In 3.62
Cl 0.3758 0.3758 0.3758  6 Cl 2.93-2.97
Cl 0.3758 0.3758 0.8725  6 Cl 2.93-2.97
Cl 0.3758 0.8725 0.3758  6 Cl 2.93-2.97
Cl 0.8725 0.3758 0.3758  6 Cl 2.93-2.97

Values from the calculation:
- Magnetization: 2.95 μB per formula unit
- Energy relative to the elements, uncorrected: 104 kJ per mole of atoms
- Calculated volume: 145.6 Å³ per cell
- Space group: F-43m
- DOS(E_F): 0.786 states/eV/atom

=====

First-principles (PBE) data for crystalline Sm5Ho4Al at its relaxed geometry, as listed in the Alexandria database.

a b c (Å): 3.5794 3.5794 24.1748
angles (deg): 90.00 90.00 90.00
Last column: nearest neighbours and their distance in Å.
Atoms (fractional coordinates):
Sm 0.0000 0.0000 0.0000  8 Ho 3.57, 4 Sm 3.58
Sm 0.0000 0.0000 0.2090  8 Ho 3.56-3.58, 4 Sm 3.58
Sm 0.0000 0.0000 0.4200  4 Al 3.19
Sm 0.0000 0.0000 0.5800  4 Al 3.19
Sm 0.0000 0.0000 0.7910  8 Ho 3.56-3.58, 4 Sm 3.58
Ho 0.5000 0.5000 0.1040  8 Sm 3.57-3.58, 4 Ho 3.58
Ho 0.5000 0.5000 0.3124  8 Sm 3.56-3.63, 4 Ho 3.58
Ho 0.5000 0.5000 0.6876  8 Sm 3.56-3.63, 4 Ho 3.58
Ho 0.5000 0.5000 0.8960  8 Sm 3.57-3.58, 4 Ho 3.58
Al 0.5000 0.5000 0.5000  8 Sm 3.19

Values from the calculation:
- Magnetization: 0.00 μB per formula unit
- Formation energy: -50.8 meV/atom
- Calculated volume: 309.7 Å³ per cell
- Space group: P4/mmm
- DOS(E_F): 1.324 states/eV/atom

=====

First-principles (PBE) data for crystalline LiBe8Au3 at its relaxed geometry, as listed in the Alexandria database.

a b c (Å): 4.4564 4.4564 7.3992
angles (deg): 90.00 90.00 120.00
Last column: nearest neighbours and their distance in Å.
Atoms (fractional coordinates):
Li 0.0000 0.0000 0.0000  12 Be 2.56-2.66, 4 Au 2.60-2.65
Be 0.0083 0.5042 0.1957  6 Be 2.17-2.28
Be 0.1688 0.3375 0.7023  6 Be 2.20-2.26
Be 0.1688 0.8312 0.7023  6 Be 2.20-2.26
Be 0.3333 0.6667 0.4520  6 Be 2.25-2.27
Be 0.3333 0.6667 0.9487  6 Be 2.22
Be 0.4958 0.5042 0.1957  6 Be 2.17-2.28
Be 0.4958 0.9917 0.1957  6 Be 2.17-2.28
Be 0.6625 0.8312 0.7023  6 Be 2.20-2.26
Au 0.0000 0.0000 0.3516  9 Be 2.51-2.68, 1 Li 2.60
Au 0.6667 0.3333 0.5198  12 Be 2.61-2.74, 4 Au 2.86-2.91
Au 0.6667 0.3333 0.9129  12 Be 2.47-2.72, 3 Li 2.65

Values from the calculation:
- Magnetization: 0.00 μB per formula unit
- Formation energy: -162.4 meV/atom
- Calculated volume: 127.3 Å³ per cell
- Space group: P3m1
- DOS(E_F): 0.140 states/eV/atom

=====

First-principles (PBE) data for crystalline Y2ZnNi2 at its relaxed geometry, as listed in the Alexandria database.

a b c (Å): 3.5025 3.5025 16.3833
angles (deg): 90.00 90.00 90.00
Last column: nearest neighbours and their distance in Å.
Atoms (fractional coordinates):
Y 0.0000 0.0000 0.1169  4 Ni 2.80, 4 Zn 3.13
Y 0.0000 0.0000 0.8831  4 Ni 2.80, 4 Zn 3.13
Y 0.5000 0.5000 0.3831  4 Ni 2.80, 4 Zn 3.13
Y 0.5000 0.5000 0.6169  4 Ni 2.80, 4 Zn 3.13
Zn 0.0000 0.0000 0.5000  8 Y 3.13, 4 Zn 3.50
Zn 0.5000 0.5000 0.0000  8 Y 3.13, 4 Zn 3.50
Ni 0.0000 0.5000 0.2500  4 Ni 2.48
Ni 0.0000 0.5000 0.7500  4 Ni 2.48
Ni 0.5000 0.0000 0.2500  4 Ni 2.48
Ni 0.5000 0.0000 0.7500  4 Ni 2.48

Values from the calculation:
- Magnetization: 0.00 μB per formula unit
- Formation energy: -163.1 meV/atom
- Calculated volume: 201.0 Å³ per cell
- Space group: I4/mmm
- DOS(E_F): 1.066 states/eV/atom